Entry 1:
Ce3Pm4PuN8: optimized geometry, PBE.

a = 7.1487 Å, b = 7.1500 Å, c = 7.1487 Å
α = 119.99°, β = 120.00°, γ = 90.00°
Last column: nearest neighbours and their distance in Å.
Fractional coordinates of all 16 atoms:
1 Ce 0.5000 0.5000 0.0000  6 N 2.49
2 Ce 0.5000 0.5000 0.5000  6 N 2.49
3 Ce 0.0000 0.5000 0.5000  6 N 2.49
4 Pm 0.5000 0.0000 0.0000  6 N 2.60
5 Pm 0.5000 0.0000 0.5000  6 N 2.57
6 Pm 0.0000 0.0000 0.0000  6 N 2.57
7 Pm 0.0000 0.0000 0.5000  6 N 2.57
8 Pu 0.0000 0.5000 0.0000  6 N 2.46
9 N 0.2432 0.7354 0.9922  1 Pu 2.46, 2 Ce 2.49, 3 Pm 2.57-2.60
10 N 0.2433 0.7354 0.4865  1 Pu 2.46, 2 Ce 2.49, 3 Pm 2.57-2.60
11 N 0.2542 0.2627 0.5085  3 Ce 2.49, 3 Pm 2.57
12 N 0.7489 0.7354 0.9922  1 Pu 2.46, 2 Ce 2.49, 3 Pm 2.57-2.60
13 N 0.2511 0.2646 0.0078  1 Pu 2.46, 2 Ce 2.49, 3 Pm 2.57-2.60
14 N 0.7458 0.7373 0.4915  3 Ce 2.49, 3 Pm 2.57
15 N 0.7567 0.2646 0.5135  1 Pu 2.46, 2 Ce 2.49, 3 Pm 2.57-2.60
16 N 0.7568 0.2646 0.0078  1 Pu 2.46, 2 Ce 2.49, 3 Pm 2.57-2.60

Calculated values
raw formation energy = -1450 meV per atom
ρ = 8.72 g/cm3
density of states at the Fermi level = 12.59 states/eV per cell

Entry 2:
CsSr2LiAg: optimized geometry, PBE.

a = 6.3213 Å, b = 6.3213 Å, c = 5.8909 Å
α = 90.00°, β = 90.00°, γ = 90.00°
Last column: nearest neighbours and their distance in Å.
Fractional coordinates of all 5 atoms:
1 Cs 0.5000 0.5000 0.5000  8 Sr 4.32, 4 Li 4.47
2 Sr 0.0000 0.5000 0.0000  2 Ag 3.16
3 Sr 0.5000 0.0000 0.0000  2 Ag 3.16
4 Ag 0.0000 0.0000 0.0000  2 Li 2.95, 4 Sr 3.16
5 Li 0.0000 0.0000 0.5000  2 Ag 2.95

Calculated values
E_form = 0.30 eV per formula unit
ρ = 2.98 g/cm3
density of states at the Fermi level = 4.02 states/eV per cell

Entry 3:
Ti2Ga2Cu7Au: optimized geometry, PBE.

a = 3.6127 Å, b = 3.6127 Å, c = 13.4506 Å
α = 82.11°, β = 82.11°, γ = 90.01°
Last column: nearest neighbours and their distance in Å.
Fractional coordinates of all 12 atoms:
1 Ti 0.6745 0.6745 0.6587  1 Cu 2.58, 4 Ga 2.67-2.68
2 Ti 0.3255 0.3255 0.3413  1 Cu 2.58, 4 Ga 2.67-2.68
3 Ga 0.8563 0.8563 0.2810  5 Cu 2.41-2.47, 4 Ti 2.67-2.68
4 Ga 0.1437 0.1437 0.7190  5 Cu 2.41-2.47, 4 Ti 2.67-2.68
5 Cu 0.5000 0.5000 0.0000  4 Au 2.55, 8 Cu 2.71-2.72
6 Cu 0.2305 0.2305 0.5364  1 Ga 2.41, 1 Ti 2.58
7 Cu 0.7695 0.7695 0.4636  1 Ga 2.41, 1 Ti 2.58
8 Cu 0.9207 0.4212 0.1535  2 Ga 2.47, 6 Cu 2.55-2.72, 2 Au 2.71
9 Cu 0.4212 0.9207 0.1535  2 Ga 2.47, 6 Cu 2.55-2.72, 2 Au 2.71
10 Cu 0.5788 0.0793 0.8465  2 Ga 2.47, 6 Cu 2.55-2.72, 2 Au 2.71
11 Cu 0.0793 0.5788 0.8465  2 Ga 2.47, 6 Cu 2.55-2.72, 2 Au 2.71
12 Au 0.0000 0.0000 0.0000  12 Cu 2.55-2.71

Calculated values
E_form = -0.40 eV per formula unit
ρ = 8.46 g/cm3
density of states at the Fermi level = 7.83 states/eV per cell

Entry 4:
Ac5Sn2Hg: optimized geometry, PBE.

a = 8.6780 Å, b = 8.6780 Å, c = 10.0729 Å
α = 115.52°, β = 115.52°, γ = 90.00°
Last column: nearest neighbours and their distance in Å.
Fractional coordinates of all 16 atoms:
1 Ac 0.5234 0.6818 0.7052  3 Sn 3.42-3.52, 2 Hg 3.61, 1 Ac 3.81
2 Ac 0.8182 0.9766 0.2948  3 Sn 3.42-3.52, 2 Hg 3.61, 1 Ac 3.81
3 Ac 0.0000 0.0000 0.0000  4 Sn 3.42
4 Ac 0.5000 0.5000 0.0000  4 Sn 3.42
5 Ac 0.1818 0.0234 0.7052  3 Sn 3.42-3.52, 2 Hg 3.61, 1 Ac 3.81
6 Ac 0.6818 0.1818 0.7052  3 Sn 3.42-3.52, 2 Hg 3.61, 1 Ac 3.81
7 Ac 0.0234 0.5234 0.7052  3 Sn 3.42-3.52, 2 Hg 3.61, 1 Ac 3.81
8 Ac 0.3182 0.8182 0.2948  3 Sn 3.42-3.52, 2 Hg 3.61, 1 Ac 3.81
9 Ac 0.9766 0.4766 0.2948  3 Sn 3.42-3.52, 2 Hg 3.61, 1 Ac 3.81
10 Ac 0.4766 0.3182 0.2948  3 Sn 3.42-3.52, 2 Hg 3.61, 1 Ac 3.81
11 Sn 0.1274 0.3726 0.0000  1 Sn 3.13, 4 Ac 3.42
12 Sn 0.6274 0.1274 0.0000  1 Sn 3.13, 4 Ac 3.42
13 Sn 0.3726 0.8726 0.0000  1 Sn 3.13, 4 Ac 3.42
14 Sn 0.8726 0.6274 0.0000  1 Sn 3.13, 4 Ac 3.42
15 Hg 0.7500 0.7500 0.5000  10 Ac 3.61-3.99
16 Hg 0.2500 0.2500 0.5000  10 Ac 3.61-3.99

Calculated values
excess energy over the best structure of this formula in the dataset = 0.000 eV/atom
E_form = -3.86 eV per formula unit
ρ = 8.68 g/cm3
density of states at the Fermi level = 15.73 states/eV per cell

Entry 5:
Dy4GeSbSe2: optimized geometry, PBE.

a = 4.1916 Å, b = 7.2266 Å, c = 7.2960 Å
α = 70.53°, β = 90.00°, γ = 90.00°
Last column: nearest neighbours and their distance in Å.
Fractional coordinates of all 8 atoms:
1 Dy 0.0000 0.7492 0.7372  1 Ge 2.88, 3 Se 2.93-3.05, 2 Sb 3.00
2 Dy 0.0000 0.2508 0.2628  1 Ge 2.88, 3 Se 2.93-3.05, 2 Sb 3.00
3 Dy 0.5000 0.7420 0.2637  2 Ge 2.90, 3 Se 2.93-3.03, 1 Sb 3.00
4 Dy 0.5000 0.2580 0.7363  2 Ge 2.90, 3 Se 2.93-3.03, 1 Sb 3.00
5 Ge 0.0000 0.5000 0.5000  6 Dy 2.88-2.90
6 Sb 0.5000 0.5000 0.0000  6 Dy 3.00
7 Se 0.0000 0.0000 0.0000  6 Dy 3.03-3.05
8 Se 0.5000 0.0000 0.5000  6 Dy 2.93

Calculated values
raw formation energy = -1429 meV per atom
ρ = 7.99 g/cm3
density of states at the Fermi level = 1.46 states/eV per cell

Entry 6:
CuSiNi: optimized geometry, PBE.

a = 4.1503 Å, b = 4.4748 Å, c = 4.5092 Å
α = 71.34°, β = 74.13°, γ = 62.56°
Last column: nearest neighbours and their distance in Å.
Fractional coordinates of all 6 atoms:
1 Ni 0.2094 0.9345 0.7266  4 Si 2.33-2.54, 4 Cu 2.48-2.58
2 Ni 0.7906 0.0655 0.2734  4 Si 2.33-2.54, 4 Cu 2.48-2.58
3 Si 0.5523 0.2334 0.7551  4 Ni 2.33-2.54, 3 Cu 2.41-2.52, 1 Si 2.61
4 Si 0.4477 0.7666 0.2449  4 Ni 2.33-2.54, 3 Cu 2.41-2.52, 1 Si 2.61
5 Cu 0.8688 0.5643 0.7679  2 Cu 2.41-2.50, 4 Si 2.41-2.65, 4 Ni 2.48-2.58
6 Cu 0.1312 0.4357 0.2321  2 Cu 2.41-2.50, 4 Si 2.41-2.65, 4 Ni 2.48-2.58

Calculated values
raw formation energy = -239 meV per atom
ρ = 7.17 g/cm3
density of states at the Fermi level = 1.82 states/eV per cell

Entry 7:
BaSi2SnGe: optimized geometry, PBE.

a = 5.6592 Å, b = 5.7528 Å, c = 5.6592 Å
α = 90.00°, β = 90.00°, γ = 90.00°
Last column: nearest neighbours and their distance in Å.
Fractional coordinates of all 5 atoms:
1 Ge 0.0000 0.5000 0.0000  2 Ba 2.88
2 Si 0.0000 0.0000 0.5000  2 Ba 2.83
3 Si 0.5000 0.0000 0.0000  2 Ba 2.83
4 Ba 0.0000 0.0000 0.0000  4 Si 2.83, 2 Ge 2.88
5 Sn 0.5000 0.5000 0.5000  4 Ge 4.00, 8 Si 4.03

Calculated values
raw formation energy = 1503 meV per atom
ρ = 3.47 g/cm3
density of states at the Fermi level = 5.90 states/eV per cell

Entry 8:
Li7AgPd2: optimized geometry, PBE.

a = 2.7612 Å, b = 4.9457 Å, c = 11.8720 Å
α = 102.02°, β = 90.00°, γ = 90.00°
Last column: nearest neighbours and their distance in Å.
Fractional coordinates of all 10 atoms:
1 Li 0.0000 0.7901 0.5803  6 Pd 2.62-2.86, 2 Li 2.76
2 Li 0.0000 0.2099 0.4197  6 Pd 2.62-2.86, 2 Li 2.76
3 Li 0.5000 0.6520 0.7955  3 Li 2.43-2.69, 1 Pd 2.48
4 Li 0.5000 0.3480 0.2045  3 Li 2.43-2.69, 1 Pd 2.48
5 Li 0.5000 0.8565 0.2045  3 Li 2.43-2.69, 1 Pd 2.48
6 Li 0.5000 0.1435 0.7955  3 Li 2.43-2.69, 1 Pd 2.48
7 Li 0.5000 0.5000 0.0000  6 Li 2.69-2.76, 4 Ag 2.83
8 Ag 0.0000 0.0000 0.0000  2 Ag 2.76, 12 Li 2.83-3.00
9 Pd 0.5000 0.6943 0.3886  4 Li 2.48-2.62, 2 Pd 2.76
10 Pd 0.5000 0.3057 0.6114  4 Li 2.48-2.62, 2 Pd 2.76

Calculated values
excess energy over the best structure of this formula in the dataset = 0.032 eV/atom
E_form = -1.78 eV per formula unit
ρ = 3.87 g/cm3
density of states at the Fermi level = 2.87 states/eV per cell

- What is the density of states at the Fermi level in the first record?
  12.59 states/eV per cell

- Among the records above, which one has the highest density of states at the Fermi level?
  Ac5Sn2Hg

Please write out number 2 again, unchanged.
CsSr2LiAg: optimized geometry, PBE.

a = 6.3213 Å, b = 6.3213 Å, c = 5.8909 Å
α = 90.00°, β = 90.00°, γ = 90.00°
Last column: nearest neighbours and their distance in Å.
Fractional coordinates of all 5 atoms:
1 Cs 0.5000 0.5000 0.5000  8 Sr 4.32, 4 Li 4.47
2 Sr 0.0000 0.5000 0.0000  2 Ag 3.16
3 Sr 0.5000 0.0000 0.0000  2 Ag 3.16
4 Ag 0.0000 0.0000 0.0000  2 Li 2.95, 4 Sr 3.16
5 Li 0.0000 0.0000 0.5000  2 Ag 2.95

Calculated values
E_form = 0.30 eV per formula unit
ρ = 2.98 g/cm3
density of states at the Fermi level = 4.02 states/eV per cell

Repeat the second record exactly.
CsSr2LiAg: optimized geometry, PBE.

a = 6.3213 Å, b = 6.3213 Å, c = 5.8909 Å
α = 90.00°, β = 90.00°, γ = 90.00°
Last column: nearest neighbours and their distance in Å.
Fractional coordinates of all 5 atoms:
1 Cs 0.5000 0.5000 0.5000  8 Sr 4.32, 4 Li 4.47
2 Sr 0.0000 0.5000 0.0000  2 Ag 3.16
3 Sr 0.5000 0.0000 0.0000  2 Ag 3.16
4 Ag 0.0000 0.0000 0.0000  2 Li 2.95, 4 Sr 3.16
5 Li 0.0000 0.0000 0.5000  2 Ag 2.95

Calculated values
E_form = 0.30 eV per formula unit
ρ = 2.98 g/cm3
density of states at the Fermi level = 4.02 states/eV per cell